# 1
Below is a geometry-optimized Nb2Mo5W4 structure, with properties calculated at the PBE level.

The space group is P2/m (No. 10) and the conventional cell measures 7.106, 2.636 and 9.840 Å, with angles of 90.00, 92.76 and 90.00 degrees. Symmetry generates all atoms from Nb at (0.046, 0.000, 0.143), Mo at (0.231, 0.000, 0.677), Mo at (0.413, 0.000, 0.225), Mo at (0.500, 0.000, 0.500), W at (0.139, 0.500, 0.410) and W at (0.318, 0.500, 0.953).

Its energy is -11.129 eV per atom. Its density is 12.64 g/cm³. The spin magnetization is 0.0000 μB/atom. For the energy relative to the elements, the calculation gives 0.335 eV/atom.

# 2
Below is a geometry-optimized NbMoW2 structure, with properties calculated at the PBE level.

The space group is Fm-3m (No. 225) and the conventional cell measures 6.416, 6.416 and 6.416 Å, with angles of 90.00, 90.00 and 90.00 degrees. Symmetry generates all atoms from Nb at (0.000, 0.000, 0.000), Mo at (0.000, 0.000, 0.500) and W at (0.250, 0.250, 0.250).

Its energy is -11.760 eV per atom. Its density is 14.00 g/cm³. The spin magnetization is 0.0000 μB/atom. For the energy relative to the elements, the calculation gives -0.058 eV/atom.

# 3
Below is a geometry-optimized NbMo2W structure, with properties calculated at the PBE level.

The space group is Fm-3m (No. 225) and the conventional cell measures 6.401, 6.401 and 6.401 Å, with angles of 90.00, 90.00 and 90.00 degrees. Symmetry generates all atoms from Nb at (0.000, 0.000, 0.000), Mo at (0.250, 0.250, 0.250) and W at (0.000, 0.000, 0.500).

Its energy is -11.285 eV per atom. Its density is 11.87 g/cm³. The spin magnetization is 0.0000 μB/atom. For the energy relative to the elements, the calculation gives -0.114 eV/atom.

> What is the formula in the first record?

Nb2Mo5W4

> What is the density in the second record?

14.00 g/cm³

What did the first record say?
Below is a geometry-optimized Nb2Mo5W4 structure, with properties calculated at the PBE level.

The space group is P2/m (No. 10) and the conventional cell measures 7.106, 2.636 and 9.840 Å, with angles of 90.00, 92.76 and 90.00 degrees. Symmetry generates all atoms from Nb at (0.046, 0.000, 0.143), Mo at (0.231, 0.000, 0.677), Mo at (0.413, 0.000, 0.225), Mo at (0.500, 0.000, 0.500), W at (0.139, 0.500, 0.410) and W at (0.318, 0.500, 0.953).

Its energy is -11.129 eV per atom. Its density is 12.64 g/cm³. The spin magnetization is 0.0000 μB/atom. For the energy relative to the elements, the calculation gives 0.335 eV/atom.